# TaTlSb2Os

An optimized crystal structure of TaTlSb2Os (PBE, the Alexandria database).

Summary:
total moment: 3.50 μB/f.u.
uncorrected energy: -5.15 eV/atom
ΔE_f (raw): 1593 meV per atom
calculated volume: 152.3 Å³ per cell

Lattice parameters (Å, degrees): 5.2858 5.2858 5.4512 90.00 90.00 90.00
Closest atoms and distances in Å follow each position.
Space group P4/mmm (No. 123)
One atom of each set of equivalent atoms:
Ta 0.0000 0.0000 0.0000 [1 per cell]  4 Sb 2.64, 2 Tl 2.73
Tl 0.0000 0.0000 0.5000 [1 per cell]  2 Ta 2.73
Sb 0.0000 0.5000 0.0000 [2 per cell]  2 Ta 2.64
Os 0.5000 0.5000 0.5000 [1 per cell]  4 Tl 3.74, 8 Sb 3.80